Density functional theory data (PBE-GGA) for a relaxed Zn4GeSb crystal.

As for the density of states at the Fermi level: 6.1 states/eV/f.u. The calculation puts the energy at -2.097 eV per atom. As for the total magnetization: 0.00 μB/cell. For the formation energy without anion corrections, the calculation gives 0.21 eV per atom. As for the density: 6.82 g cm⁻³.

Lattice parameters (Å, degrees): 7.631 7.631 7.631 90.00 90.00 90.00
Space group F-43m (No. 216)
Inequivalent atoms, fractional coordinates:
Zn  0.125  0.125  0.125 x16
Ge  0.250  0.250  0.750 x4
Sb  0.000  0.000  0.500 x4

---

Density functional theory data (PBE-GGA) for a relaxed ZnGeSb3 crystal.

As for the density of states at the Fermi level: 3.6 states/eV/f.u. The calculation puts the energy at -2.998 eV per atom. As for the total magnetization: 0.00 μB/cell. For the formation energy without anion corrections, the calculation gives 0.65 eV per atom. As for the density: 5.91 g cm⁻³.

Lattice parameters (Å, degrees): 5.210 5.210 5.210 90.00 90.00 90.00
Space group Pm-3m (No. 221)
Inequivalent atoms, fractional coordinates:
Zn  0.000  0.000  0.000 x1
Ge  0.500  0.500  0.500 x1
Sb  0.000  0.000  0.500 x3

---

Density functional theory data (PBE-GGA) for a relaxed ZnGe2Sb2 crystal.

As for the density of states at the Fermi level: 2.7 states/eV/f.u. The calculation puts the energy at -3.445 eV per atom. As for the total magnetization: 0.00 μB/cell. For the formation energy without anion corrections, the calculation gives 0.31 eV per atom. As for the density: 6.34 g cm⁻³.

Lattice parameters (Å, degrees): 7.897 7.897 3.814 90.00 90.00 90.00
Space group P4/mbm (No. 127)
Inequivalent atoms, fractional coordinates:
Zn  0.000  0.000  0.000 x2
Ge  0.134  0.366  0.500 x4
Sb  0.168  0.668  0.000 x4

---

Density functional theory data (PBE-GGA) for a relaxed ZnGe3Sb crystal.

As for the density of states at the Fermi level: 2.2 states/eV/f.u. The calculation puts the energy at -3.320 eV per atom. As for the total magnetization: 0.00 μB/cell. For the formation energy without anion corrections, the calculation gives 0.53 eV per atom. As for the density: 5.78 g cm⁻³.

Lattice parameters (Å, degrees): 4.883 4.883 4.883 90.00 90.00 90.00
Space group Pm-3m (No. 221)
Inequivalent atoms, fractional coordinates:
Zn  0.000  0.000  0.000 x1
Ge  0.000  0.000  0.500 x3
Sb  0.500  0.500  0.500 x1

---

Density functional theory data (PBE-GGA) for a relaxed ZnGe2Sb2 crystal.

As for the density of states at the Fermi level: 2.5 states/eV/f.u. The calculation puts the energy at -3.452 eV per atom. As for the total magnetization: 0.00 μB/cell. For the formation energy without anion corrections, the calculation gives 0.30 eV per atom. As for the density: 6.40 g cm⁻³.

Lattice parameters (Å, degrees): 7.934 7.934 3.743 90.00 90.00 90.00
Space group P4/mbm (No. 127)
Inequivalent atoms, fractional coordinates:
Zn  0.000  0.000  0.000 x2
Ge  0.141  0.359  0.000 x4
Sb  0.154  0.654  0.500 x4

---

Density functional theory data (PBE-GGA) for a relaxed Zn3GeSb crystal.

As for the density of states at the Fermi level: 4.0 states/eV/f.u. The calculation puts the energy at -2.069 eV per atom. As for the total magnetization: 0.00 μB/cell. For the formation energy without anion corrections, the calculation gives 0.44 eV per atom. As for the density: 5.70 g cm⁻³.

Lattice parameters (Å, degrees): 4.846 4.846 4.846 90.00 90.00 90.00
Space group Pm-3m (No. 221)
Inequivalent atoms, fractional coordinates:
Zn  0.000  0.000  0.500 x3
Ge  0.000  0.000  0.000 x1
Sb  0.500  0.500  0.500 x1

---

Density functional theory data (PBE-GGA) for a relaxed ZnGe2Sb2 crystal.

As for the density of states at the Fermi level: 1.4 states/eV/f.u. The calculation puts the energy at -3.430 eV per atom. As for the total magnetization: 0.00 μB/cell. For the formation energy without anion corrections, the calculation gives 0.32 eV per atom. As for the density: 5.49 g cm⁻³.

Lattice parameters (Å, degrees): 4.418 4.418 14.086 90.00 90.00 90.00
Space group I4/mmm (No. 139)
Inequivalent atoms, fractional coordinates:
Zn  0.000  0.000  0.000 x2
Ge  0.000  0.500  0.250 x4
Sb  0.000  0.000  0.379 x4

---

Density functional theory data (PBE-GGA) for a relaxed ZnGeSb2 crystal.

As for the density of states at the Fermi level: 2.3 states/eV/f.u. The calculation puts the energy at -3.281 eV per atom. As for the total magnetization: 0.00 μB/cell. For the formation energy without anion corrections, the calculation gives 0.25 eV per atom. As for the density: 6.92 g cm⁻³.

Lattice parameters (Å, degrees): 7.155 7.155 7.155 90.00 90.00 90.00
Space group Fm-3m (No. 225)
Inequivalent atoms, fractional coordinates:
Zn  0.000  0.000  0.000 x4
Ge  0.000  0.000  0.500 x4
Sb  0.250  0.250  0.250 x8

---

Density functional theory data (PBE-GGA) for a relaxed ZnGe3Sb crystal.

As for the density of states at the Fermi level: 3.5 states/eV/f.u. The calculation puts the energy at -2.839 eV per atom. As for the total magnetization: 0.00 μB/cell. For the formation energy without anion corrections, the calculation gives 1.01 eV per atom. As for the density: 4.30 g cm⁻³.

Lattice parameters (Å, degrees): 5.389 5.389 5.389 90.00 90.00 90.00
Space group Pm-3m (No. 221)
Inequivalent atoms, fractional coordinates:
Zn  0.000  0.000  0.000 x1
Ge  0.000  0.500  0.500 x3
Sb  0.500  0.500  0.500 x1

---

Density functional theory data (PBE-GGA) for a relaxed Zn3GeSb crystal.

As for the density of states at the Fermi level: 4.0 states/eV/f.u. The calculation puts the energy at -1.743 eV per atom. As for the total magnetization: 0.00 μB/cell. For the formation energy without anion corrections, the calculation gives 0.77 eV per atom. As for the density: 4.71 g cm⁻³.

Lattice parameters (Å, degrees): 5.165 5.165 5.165 90.00 90.00 90.00
Space group Pm-3m (No. 221)
Inequivalent atoms, fractional coordinates:
Zn  0.000  0.000  0.500 x3
Ge  0.500  0.500  0.500 x1
Sb  0.000  0.000  0.000 x1

---

Density functional theory data (PBE-GGA) for a relaxed ZrGeSb crystal.

As for the density of states at the Fermi level: 1.6 states/eV/f.u. The calculation puts the energy at -6.358 eV per atom. As for the total magnetization: 0.00 μB/cell. For the formation energy without anion corrections, the calculation gives -0.60 eV per atom. As for the density: 7.37 g cm⁻³.

Lattice parameters (Å, degrees): 3.846 3.846 8.699 90.00 90.00 90.00
Space group P4/nmm (No. 129, origin choice 2)
Inequivalent atoms, fractional coordinates:
Zr  0.250  0.250  0.250 x2
Ge  0.250  0.750  0.000 x2
Sb  0.250  0.250  0.612 x2

---

Density functional theory data (PBE-GGA) for a relaxed Zr5Ge2Sb2 crystal.

As for the density of states at the Fermi level: 4.3 states/eV/f.u. The calculation puts the energy at -7.498 eV per atom. As for the total magnetization: 0.00 μB/cell. For the formation energy without anion corrections, the calculation gives -0.81 eV per atom. As for the density: 7.22 g cm⁻³.

Lattice parameters (Å, degrees): 14.326 7.401 7.329 90.00 90.00 90.00
Space group Cmce (No. 64)
Inequivalent atoms, fractional coordinates:
Zr  0.000  0.000  0.000 x4
Zr  0.127  0.163  0.333 x16
Ge  0.000  0.131  0.630 x8
Sb  0.207  0.000  0.000 x8